1.
# La2HS

Crystalline La2HS at its relaxed geometry (GGA-PBE, the Alexandria database).

Calculated values
- crystal system = trigonal
- size of the total moment (Bohr magnetons per cell) = 0.0
- volume (A^3/atom) = 22.54
- total DFT energy (no corrections) (eV per atom) = -5.439
- SG = R3m

Lattice parameters (Å, degrees): 3.889 3.889 7.240 74.42 74.42 60.00
Fractional coordinates of all 4 atoms:
La  0.086  0.086  0.743
La  0.250  0.250  0.251
H  0.496  0.496  0.511
S  0.668  0.668  0.996


2.
# ZnCd2Tc2

Crystalline ZnCd2Tc2 at its relaxed geometry (GGA-PBE, the Alexandria database).

Calculated values
- crystal system = tetragonal
- energy of formation from the pure elements (eV/atom) = 0.632
- size of the total moment (Bohr magnetons per cell) = 0.0
- volume (A^3/atom) = 19.46
- SG = P4/mbm

Lattice parameters (Å, degrees): 8.299 8.299 2.826 90.00 90.00 90.00
Fractional coordinates of all 10 atoms:
Zn  0.000  0.000  0.000
Zn  0.500  0.500  0.000
Tc  0.096  0.596  0.500
Tc  0.596  0.904  0.500
Tc  0.904  0.404  0.500
Tc  0.404  0.096  0.500
Cd  0.307  0.807  0.000
Cd  0.807  0.693  0.000
Cd  0.693  0.193  0.000
Cd  0.193  0.307  0.000


3.
# SnRuF3

Crystalline SnRuF3 at its relaxed geometry (GGA-PBE, the Alexandria database).

Calculated values
- crystal system = cubic
- raw formation energy (eV per atom) = -0.91
- size of the total moment (Bohr magnetons per cell) = 1.5
- volume (A^3/atom) = 16.31
- SG = Pm-3m

Lattice parameters (Å, degrees): 4.336 4.336 4.336 90.00 90.00 90.00
Each line ends with the local moment (μB).
Fractional coordinates of all 5 atoms:
Ru  0.000  0.000  0.000  1.45
Sn  0.500  0.500  0.500  -0.05
F  0.000  0.500  0.000  0.03
F  0.000  0.000  0.500  0.03
F  0.500  0.000  0.000  0.01


4.
# Na6HCl5

Crystalline Na6HCl5 at its relaxed geometry (GGA-PBE, the Alexandria database).

Calculated values
- crystal system = monoclinic
- size of the total moment (Bohr magnetons per cell) = 0.1
- volume (A^3/atom) = 21.83
- total DFT energy (no corrections) (eV per atom) = -3.225
- SG = C2/m

Lattice parameters (Å, degrees): 6.836 6.851 6.852 60.01 80.40 70.51
Fractional coordinates of all 12 atoms:
Na  0.757  0.081  0.317
Na  0.243  0.602  0.317
Na  0.239  0.235  0.000
Na  0.761  0.765  0.000
Na  0.757  0.398  0.683
Na  0.243  0.919  0.683
H  0.000  0.000  0.000
Cl  0.500  0.167  0.666
Cl  0.000  0.333  0.334
Cl  0.500  0.500  0.000
Cl  0.000  0.667  0.666
Cl  0.500  0.833  0.334


5.
# La5SmSn3

Crystalline La5SmSn3 at its relaxed geometry (GGA-PBE, the Alexandria database).

Calculated values
- crystal system = tetragonal
- energy of formation from the pure elements (eV/atom) = -0.374
- size of the total moment (Bohr magnetons per cell) = 3.1
- volume (A^3/atom) = 32.40
- SG = I4/mcm

Lattice parameters (Å, degrees): 8.490 8.490 10.075 114.92 114.92 90.00
Each line ends with the local moment (μB).
Fractional coordinates of all 18 atoms:
La  0.060  0.560  0.727  0.09
La  0.667  0.167  0.727  0.09
La  0.167  0.060  0.727  0.09
La  0.560  0.667  0.727  0.09
La  0.940  0.440  0.273  0.09
La  0.333  0.833  0.273  0.09
La  0.833  0.940  0.273  0.09
La  0.440  0.333  0.273  0.09
La  0.500  0.500  0.000  0.23
La  0.000  0.000  0.000  0.23
Sm  0.750  0.250  0.500  0.16
Sm  0.250  0.750  0.500  0.16
Sn  0.618  0.118  0.000  -0.01
Sn  0.382  0.882  0.000  -0.01
Sn  0.882  0.618  0.000  -0.01
Sn  0.118  0.382  0.000  -0.01
Sn  0.250  0.250  0.500  -0.02
Sn  0.750  0.750  0.500  -0.02


6.
# Na3InAg

Crystalline Na3InAg at its relaxed geometry (GGA-PBE, the Alexandria database).

Calculated values
- crystal system = cubic
- energy of formation from the pure elements (eV/atom) = 0.182
- size of the total moment (Bohr magnetons per cell) = 0.0
- volume (A^3/atom) = 34.33
- SG = Pm-3m

Lattice parameters (Å, degrees): 5.557 5.557 5.557 90.00 90.00 90.00
Fractional coordinates of all 5 atoms:
Na  0.000  0.500  0.000
Na  0.000  0.000  0.500
Na  0.500  0.000  0.000
Ag  0.000  0.000  0.000
In  0.500  0.500  0.500


7.
# Nd2ZrCuS5

Crystalline Nd2ZrCuS5 at its relaxed geometry (GGA-PBE, the Alexandria database).

Calculated values
- crystal system = orthorhombic
- raw formation energy (eV per atom) = -1.63
- size of the total moment (Bohr magnetons per cell) = 0.0
- volume (A^3/atom) = 20.51
- SG = Cmc2_1

Lattice parameters (Å, degrees): 3.814 8.462 11.741 90.00 90.00 103.02
Fractional coordinates of all 18 atoms:
Nd  0.877  0.755  0.830
Nd  0.117  0.235  0.694
Nd  0.123  0.245  0.330
Nd  0.883  0.765  0.194
Zr  0.816  0.632  0.519
Zr  0.184  0.368  0.019
Cu  0.559  0.119  0.933
Cu  0.441  0.881  0.433
S  0.346  0.693  0.014
S  0.693  0.386  0.862
S  0.496  0.991  0.762
S  0.298  0.596  0.675
S  0.966  0.932  0.535
S  0.654  0.307  0.514
S  0.307  0.614  0.362
S  0.504  0.009  0.262
S  0.702  0.404  0.175
S  0.034  0.068  0.035


8.
# HfTaS2

Crystalline HfTaS2 at its relaxed geometry (GGA-PBE, the Alexandria database).

Calculated values
- crystal system = tetragonal
- raw formation energy (eV per atom) = -0.48
- size of the total moment (Bohr magnetons per cell) = 0.0
- volume (A^3/atom) = 19.94
- SG = I-42d

Lattice parameters (Å, degrees): 4.610 4.610 8.182 73.64 73.64 90.00
Fractional coordinates of all 8 atoms:
S  0.647  0.125  0.250
S  0.103  0.625  0.250
S  0.375  0.353  0.750
S  0.875  0.897  0.750
Hf  0.500  0.500  0.000
Hf  0.250  0.750  0.500
Ta  0.000  0.000  0.000
Ta  0.750  0.250  0.500